Below is crystalline Th3Be2Rh7 at its relaxed geometry, with properties calculated at the GGA-PBE level.

Calculated density, kg/m³: 11580
E_tot, eV/atom: -7.594

Cell and atoms, written as POSCAR:
```
Th3Be2Rh7
1.0
-3.627 -0.802 -2.186
2.304 -1.765 -3.175
1.028 -9.505 6.030
Th Be Rh
3 2 7
Direct
0.500 0.500 0.000
0.315 0.500 0.630
0.685 0.500 0.370
0.104 0.000 0.208
0.896 0.000 0.792
0.596 0.000 0.192
0.204 0.000 0.408
0.000 0.000 0.000
0.404 0.000 0.808
0.904 0.500 0.809
0.096 0.500 0.191
0.796 0.000 0.592
```